! MnHgW2 | Alexandria via LeMat-Bulk | PBE | relaxed; values from VASP
&SYSTEM
  ibrav = 0, nat = 4, ntyp = 3
/
ATOMIC_SPECIES
Hg 200.59 Hg.upf
W 183.84 W.upf
Mn 54.94 Mn.upf
ATOMIC_POSITIONS angstrom
Hg -1.397 1.052 2.185
W 2.583 1.354 4.969
W 1.466 0.768 2.820
Mn -0.048 1.759 4.782
CELL_PARAMETERS angstrom
-1.142 2.619 -0.119
-3.002 -1.223 1.893
2.699 1.414 5.193
! Crystal system = orthorhombic
! Space-group type = Pmmm, No. 47
! Calculated formation energy = 0.5633 eV/atom